*A*
A geometry-optimized CePmAg structure. Source: Alexandria, functional PBE-GGA.

SG: No. 156

Unit cell a=5.098 b=5.098 c=3.495 alpha=90.00 beta=90.00 gamma=120.00
Sites, in units of the cell vectors:
Ce  0.000  0.000  0.000
Pm  0.667  0.333  0.359
Ag  0.333  0.667  0.678

*B*
A geometry-optimized CePmAg structure. Source: Alexandria, functional PBE-GGA.

SG: No. 107

Unit cell a=6.891 b=6.891 c=6.891 alpha=149.30 beta=149.30 gamma=43.97
Sites, in units of the cell vectors:
Ce  0.000  0.000  0.000
Pm  0.301  0.301  0.000
Ag  0.653  0.653  0.000

*C*
A geometry-optimized CePmAg structure. Source: Alexandria, functional PBE-GGA.

SG: No. 63

Unit cell a=8.701 b=8.701 c=5.433 alpha=90.00 beta=90.00 gamma=156.68
Sites, in units of the cell vectors:
Ce  0.236  0.764  0.750
Ce  0.764  0.236  0.250
Pm  0.079  0.921  0.250
Pm  0.921  0.079  0.750
Ag  0.417  0.583  0.250
Ag  0.583  0.417  0.750

The least stable of them is *A*.

*A*
A geometry-optimized Ce2PmAg structure. Source: Alexandria, functional PBE-GGA.

SG: No. 123

Unit cell a=3.489 b=3.489 c=9.360 alpha=90.00 beta=90.00 gamma=90.00
Sites, in units of the cell vectors:
Ce  0.000  0.000  0.223
Ce  0.000  0.000  0.777
Pm  0.500  0.500  0.500
Ag  0.500  0.500  0.000

*B*
A geometry-optimized Ce2PmAg structure. Source: Alexandria, functional PBE-GGA.

SG: No. 225

Unit cell a=5.364 b=5.364 c=5.364 alpha=60.00 beta=60.00 gamma=60.00
Sites, in units of the cell vectors:
Ce  0.250  0.250  0.250
Ce  0.750  0.750  0.750
Pm  0.000  0.000  0.000
Ag  0.500  0.500  0.500

The least stable of them is *B*.

*A*
A geometry-optimized CePm2Ag6 structure. Source: Alexandria, functional PBE-GGA.

SG: No. 191

Unit cell a=8.456 b=8.456 c=3.356 alpha=90.00 beta=90.00 gamma=120.00
Sites, in units of the cell vectors:
Ce  0.000  0.000  0.000
Pm  0.333  0.667  0.000
Pm  0.667  0.333  0.000
Ag  0.000  0.334  0.500
Ag  0.000  0.666  0.500
Ag  0.334  0.000  0.500
Ag  0.334  0.334  0.500
Ag  0.666  0.000  0.500
Ag  0.666  0.666  0.500

*B*
A geometry-optimized CePm2Ag6 structure. Source: Alexandria, functional PBE-GGA.

SG: No. 71

Unit cell a=8.765 b=8.765 c=8.765 alpha=158.14 beta=122.90 gamma=61.89
Sites, in units of the cell vectors:
Ce  0.000  0.000  0.000
Pm  0.352  0.852  0.500
Pm  0.648  0.148  0.500
Ag  0.003  0.328  0.675
Ag  0.324  0.500  0.824
Ag  0.347  0.672  0.675
Ag  0.653  0.328  0.325
Ag  0.676  0.500  0.176
Ag  0.997  0.672  0.325

The least stable of them is *B*.

*A*
A geometry-optimized CePmAg2 structure. Source: Alexandria, functional PBE-GGA.

SG: No. 225

Unit cell a=5.277 b=5.277 c=5.277 alpha=60.00 beta=60.00 gamma=60.00
Sites, in units of the cell vectors:
Ce  0.000  0.000  0.000
Pm  0.500  0.500  0.500
Ag  0.250  0.250  0.250
Ag  0.750  0.750  0.750

*B*
A geometry-optimized CePmAg2 structure. Source: Alexandria, functional PBE-GGA.

SG: No. 166

Unit cell a=10.425 b=10.425 c=10.425 alpha=18.70 beta=18.70 gamma=18.70
Sites, in units of the cell vectors:
Ce  0.000  0.000  0.000
Pm  0.500  0.500  0.500
Ag  0.249  0.249  0.249
Ag  0.751  0.751  0.751

*C*
A geometry-optimized CePmAg2 structure. Source: Alexandria, functional PBE-GGA.

SG: No. 123

Unit cell a=3.665 b=3.665 c=7.724 alpha=90.00 beta=90.00 gamma=90.00
Sites, in units of the cell vectors:
Ce  0.000  0.000  0.000
Pm  0.000  0.000  0.500
Ag  0.500  0.500  0.257
Ag  0.500  0.500  0.743

The least stable of them is *B*.

*A*
A geometry-optimized Ce2PrAg structure. Source: Alexandria, functional PBE-GGA.

SG: No. 123

Unit cell a=3.555 b=3.555 c=9.186 alpha=90.00 beta=90.00 gamma=90.00
Sites, in units of the cell vectors:
Ce  0.000  0.000  0.220
Ce  0.000  0.000  0.780
Pr  0.500  0.500  0.500
Ag  0.500  0.500  0.000

*B*
A geometry-optimized Ce2PrAg structure. Source: Alexandria, functional PBE-GGA.

SG: No. 166

Unit cell a=12.036 b=12.036 c=12.036 alpha=15.55 beta=15.55 gamma=15.55
Sites, in units of the cell vectors:
Ce  0.093  0.093  0.093
Ce  0.907  0.907  0.907
Pr  0.000  0.000  0.000
Ag  0.500  0.500  0.500

The least stable of them is *B*.

*A*
A geometry-optimized CePrAg4 structure. Source: Alexandria, functional PBE-GGA.

SG: No. 216

Unit cell a=5.789 b=5.789 c=5.789 alpha=60.00 beta=60.00 gamma=60.00
Sites, in units of the cell vectors:
Ce  0.000  0.000  0.000
Pr  0.250  0.250  0.250
Ag  0.125  0.625  0.625
Ag  0.625  0.125  0.625
Ag  0.625  0.625  0.125
Ag  0.625  0.625  0.625

*B*
A geometry-optimized CePrAg4 structure. Source: Alexandria, functional PBE-GGA.

SG: No. 63

Unit cell a=9.146 b=9.146 c=4.909 alpha=90.00 beta=90.00 gamma=136.97
Sites, in units of the cell vectors:
Ce  0.128  0.872  0.750
Ce  0.872  0.128  0.250
Pr  0.378  0.622  0.250
Pr  0.622  0.378  0.750
Ag  0.039  0.456  0.750
Ag  0.194  0.277  0.750
Ag  0.277  0.194  0.250
Ag  0.456  0.039  0.250
Ag  0.544  0.961  0.750
Ag  0.723  0.806  0.750
Ag  0.806  0.723  0.250
Ag  0.961  0.544  0.250

The least stable of them is *A*.